Entry 1:
! Tb7Dy2Y4 (PBE, optimized geometry); values from VASP
! Formation energy from the elements (meV per atom): 161
! Symmetry: P-31m (162)
! Magnetic moment (Bohr magnetons per cell): 0.0
! Electronic total energy (eV/f.u.): -65.38
&SYSTEM
  ibrav = 0, nat = 13, ntyp = 3
/
ATOMIC_SPECIES
Tb 158.93 Tb.upf
Y 88.91 Y.upf
Dy 162.50 Dy.upf
CELL_PARAMETERS angstrom
6.095 0.000 0.000
-3.047 5.278 0.000
0.000 0.000 13.183
ATOMIC_POSITIONS crystal
Tb 0.000 0.000 0.000
Tb 0.362 0.362 0.783
Tb 0.638 0.638 0.217
Tb 0.000 0.362 0.217
Tb 0.638 0.000 0.783
Tb 0.362 0.000 0.217
Tb 0.000 0.638 0.783
Y 0.667 0.333 0.500
Y 0.000 0.000 0.393
Y 0.333 0.667 0.500
Y 0.000 0.000 0.607
Dy 0.667 0.333 0.000
Dy 0.333 0.667 0.000

=====

Entry 2:
! NbCrGa2 (PBE, optimized geometry); values from VASP
! Formation energy from the elements (meV per atom): -99
! Relative energy among the computed polymorphs (eV/atom): 0.000
! Symmetry: P4/mmm (123)
! Magnetic moment (Bohr magnetons per cell): 2.0
! Electronic total energy (eV/f.u.): -26.14
&SYSTEM
  ibrav = 0, nat = 4, ntyp = 3
/
ATOMIC_SPECIES
Nb 92.91 Nb.upf
Ga 69.72 Ga.upf
Cr 52.00 Cr.upf
CELL_PARAMETERS angstrom
4.039 0.000 0.000
0.000 3.895 0.000
0.000 0.000 3.895
ATOMIC_POSITIONS crystal
Nb 0.500 0.000 0.000
Ga 0.000 0.000 0.500
Ga 0.000 0.500 0.000
Cr 0.500 0.500 0.500

=====

Entry 3:
! ZnCo2Rh (PBE, optimized geometry); values from VASP
! Formation energy from the elements (meV per atom): 88
! Symmetry: Cmm2 (35)
! Magnetic moment (Bohr magnetons per cell): 3.7
! Electronic total energy (eV/f.u.): -22.48
&SYSTEM
  ibrav = 0, nat = 4, ntyp = 3
/
ATOMIC_SPECIES
Co 58.93 Co.upf
Rh 102.91 Rh.upf
Zn 65.41 Zn.upf
CELL_PARAMETERS angstrom
-0.682 1.055 2.267
-1.901 -1.230 -1.264
2.011 -7.150 3.932
ATOMIC_POSITIONS crystal
Co 0.000 0.000 0.009
Co 0.500 0.500 0.238
Rh 0.000 0.000 0.496
Zn 0.500 0.500 0.757

=====

Entry 4:
! LaNiW2 (PBE, optimized geometry); values from VASP
! Formation energy from the elements (meV per atom): 307
! Relative energy among the computed polymorphs (eV/atom): 0.000
! Symmetry: P4mm (99)
! Magnetic moment (Bohr magnetons per cell): 0.0
! Electronic total energy (eV/f.u.): -35.39
&SYSTEM
  ibrav = 0, nat = 4, ntyp = 3
/
ATOMIC_SPECIES
La 138.91 La.upf
W 183.84 W.upf
Ni 58.69 Ni.upf
CELL_PARAMETERS angstrom
-0.496 0.541 -3.135
1.232 -2.892 -0.695
-6.674 -2.974 0.543
ATOMIC_POSITIONS crystal
La 0.000 0.000 0.503
W 0.000 0.000 0.999
W 0.500 0.500 0.187
Ni 0.500 0.500 0.810

=====

Entry 5:
! BRh3Pb (PBE, optimized geometry); values from VASP
! Formation energy from the elements (meV per atom): 289
! Relative energy among the computed polymorphs (eV/atom): 0.513
! Symmetry: Amm2 (38)
! Magnetic moment (Bohr magnetons per cell): 0.0
! Electronic total energy (eV/f.u.): -30.99
&SYSTEM
  ibrav = 0, nat = 5, ntyp = 3
/
ATOMIC_SPECIES
Rh 102.91 Rh.upf
B 10.81 B.upf
Pb 207.20 Pb.upf
CELL_PARAMETERS angstrom
2.943 0.000 0.000
0.000 2.715 -6.561
0.000 2.715 6.561
ATOMIC_POSITIONS crystal
Rh 0.500 0.155 0.330
Rh 0.000 0.269 0.731
Rh 0.500 0.670 0.845
B 0.000 0.438 0.562
Pb 0.500 0.096 0.904

=====

Entry 6:
! AcPr2Zn (PBE, optimized geometry); values from VASP
! Formation energy from the elements (meV per atom): -24
! Relative energy among the computed polymorphs (eV/atom): 0.114
! Symmetry: R3m (160)
! Magnetic moment (Bohr magnetons per cell): 0.0
! Electronic total energy (eV/f.u.): -15.04
&SYSTEM
  ibrav = 0, nat = 4, ntyp = 3
/
ATOMIC_SPECIES
Pr 140.91 Pr.upf
Ac 227.00 Ac.upf
Zn 65.41 Zn.upf
CELL_PARAMETERS angstrom
3.857 0.000 0.000
1.928 3.340 0.000
1.928 1.113 10.758
ATOMIC_POSITIONS crystal
Pr 0.067 0.067 0.798
Pr 0.266 0.266 0.203
Ac 0.500 0.500 0.499
Zn 0.666 0.666 0.001

=====

Entry 7:
! Rb2RuCl7 (PBE, optimized geometry); values from VASP
! Relative energy among the computed polymorphs (eV/atom): 0.000
! Symmetry: I4/mmm (139)
! Formation energy without anion corrections (eV per atom): -0.973
! Magnetic moment (Bohr magnetons per cell): 3.0
! Electronic total energy (eV/f.u.): -33.87
&SYSTEM
  ibrav = 0, nat = 10, ntyp = 3
/
ATOMIC_SPECIES
Cl 35.45 Cl.upf
Ru 101.07 Ru.upf
Rb 85.47 Rb.upf
CELL_PARAMETERS angstrom
-4.701 -6.184 0.890
4.393 -4.064 -5.032
2.813 -6.810 1.882
ATOMIC_POSITIONS crystal
Cl 0.500 0.500 0.000
Cl 0.212 0.212 0.000
Cl 0.788 0.788 0.000
Cl 0.788 0.212 0.000
Cl 0.775 0.775 0.450
Cl 0.225 0.225 0.550
Cl 0.212 0.788 0.000
Ru 0.000 0.000 0.000
Rb 0.250 0.750 0.500
Rb 0.750 0.250 0.500

=====

Entry 8:
! CsInO2 (PBE, optimized geometry); values from VASP
! Symmetry: Pna2_1 (33)
! Formation energy without anion corrections (eV per atom): -1.468
! Magnetic moment (Bohr magnetons per cell): 0.0
! Electronic total energy (eV/f.u.): -19.38
&SYSTEM
  ibrav = 0, nat = 16, ntyp = 3
/
ATOMIC_SPECIES
In 114.82 In.upf
O 16.00 O.upf
Cs 132.91 Cs.upf
CELL_PARAMETERS angstrom
-1.639 -1.739 -5.818
-3.144 -7.871 3.237
-5.630 2.584 0.814
ATOMIC_POSITIONS crystal
In 0.465 0.375 0.500
In 0.535 0.625 0.000
In 0.035 0.875 0.000
In 0.965 0.125 0.500
O 0.485 0.433 0.176
O 0.515 0.567 0.676
O 0.985 0.067 0.176
O 0.015 0.933 0.676
O 0.348 0.809 0.061
O 0.848 0.691 0.061
O 0.652 0.191 0.561
O 0.152 0.309 0.561
Cs 0.473 0.877 0.514
Cs 0.973 0.623 0.514
Cs 0.527 0.123 0.014
Cs 0.027 0.377 0.014